# 1
Here is an optimized crystal structure of BaAg2Au3 from Alexandria via LeMat-Bulk. Energies are from GGA-PBE.

```
BaAg2Au3
1.0
-3.190 -0.584 -4.554
1.462 -7.136 -0.108
-5.947 -0.261 4.199
Ba Ag Au
2 4 6
Direct
0.250 0.294 0.294 Ba
0.750 0.706 0.706 Ba
0.500 0.775 0.225 Ag
0.000 0.775 0.225 Ag
0.000 0.225 0.775 Ag
0.500 0.225 0.775 Ag
0.750 0.455 0.078 Au
0.750 0.078 0.455 Au
0.250 0.545 0.922 Au
0.750 0.066 0.066 Au
0.250 0.934 0.934 Au
0.250 0.922 0.545 Au
```

Calculated values
calculated formation energy: -0.36 eV/atom
total energy: -3.265 eV/atom
density of states at the Fermi level: 0.2142 states/eV/atom
spin magnetization: 0.00 μB per formula unit
crystal system: orthorhombic



# 2
Here is an optimized crystal structure of BaAg2Au from Alexandria via LeMat-Bulk. Energies are from GGA-PBE.

```
BaAg2Au
1.0
-4.479 1.715 0.522
-2.105 -0.027 4.340
-0.160 5.561 2.637
Au Ba Ag
1 1 2
Direct
0.750 0.750 0.750 Au
0.250 0.250 0.250 Ba
0.049 0.049 0.854 Ag
0.451 0.451 0.646 Ag
```

Calculated values
calculated formation energy: -0.30 eV/atom
total energy: -3.024 eV/atom
density of states at the Fermi level: 0.4793 states/eV/atom
spin magnetization: 0.00 μB per formula unit
crystal system: trigonal



# 3
Here is an optimized crystal structure of BaAgAu2 from Alexandria via LeMat-Bulk. Energies are from GGA-PBE.

```
BaAgAu2
1.0
-4.826 -2.464 -0.808
1.543 -5.226 -0.566
1.308 3.376 4.111
Au Ba Ag
2 1 1
Direct
0.000 0.000 0.000 Au
0.250 0.750 0.500 Au
0.500 0.500 0.000 Ba
0.750 0.250 0.500 Ag
```

Calculated values
calculated formation energy: -0.25 eV/atom
total energy: -3.079 eV/atom
density of states at the Fermi level: 0.3262 states/eV/atom
spin magnetization: 0.00 μB per formula unit
crystal system: tetragonal



# 4
Here is an optimized crystal structure of Ba2AgAu from Alexandria via LeMat-Bulk. Energies are from GGA-PBE.

```
Ba2AgAu
1.0
-2.828 -3.651 -1.281
-0.208 -3.939 2.722
-7.001 0.645 4.628
Au Ba Ag
1 2 1
Direct
0.250 0.250 0.250 Au
0.996 0.996 0.013 Ba
0.504 0.504 0.487 Ba
0.750 0.750 0.750 Ag
```

Calculated values
calculated formation energy: -0.43 eV/atom
total energy: -2.928 eV/atom
density of states at the Fermi level: 0.5277 states/eV/atom
spin magnetization: 0.00 μB per formula unit
crystal system: trigonal



# 5
Here is an optimized crystal structure of BaAg5Au2 from Alexandria via LeMat-Bulk. Energies are from GGA-PBE.

```
BaAg5Au2
1.0
-0.996 -4.226 -0.549
5.598 -3.255 -2.536
3.018 -3.640 5.100
Ba Ag Au
1 5 2
Direct
0.000 0.000 0.000 Ba
0.000 0.500 0.500 Ag
0.643 0.535 0.179 Ag
0.357 0.465 0.821 Ag
0.357 0.821 0.465 Ag
0.643 0.179 0.535 Ag
0.736 0.764 0.764 Au
0.264 0.236 0.236 Au
```

Calculated values
calculated formation energy: -0.14 eV/atom
total energy: -2.982 eV/atom
density of states at the Fermi level: 0.3478 states/eV/atom
spin magnetization: 0.00 μB per formula unit
crystal system: orthorhombic



# 6
Here is an optimized crystal structure of Ba4Ag2Au5 from Alexandria via LeMat-Bulk. Energies are from GGA-PBE.

```
Ba4Ag2Au5
1.0
4.256 0.000 0.000
0.000 8.391 0.132
0.000 0.256 9.572
Ba Ag Au
4 2 5
Direct
0.500 0.728 0.642 Ba
0.500 0.237 0.870 Ba
0.500 0.272 0.358 Ba
0.500 0.763 0.130 Ba
0.000 0.075 0.624 Ag
0.000 0.925 0.376 Ag
0.000 0.591 0.371 Au
0.000 0.101 0.121 Au
0.000 0.500 0.000 Au
0.000 0.899 0.879 Au
0.000 0.409 0.629 Au
```

Calculated values
calculated formation energy: -0.58 eV/atom
total energy: -3.284 eV/atom
density of states at the Fermi level: 0.2554 states/eV/atom
spin magnetization: 0.00 μB per formula unit
crystal system: monoclinic



# 7
Here is an optimized crystal structure of Ba12AgAu6 from Alexandria via LeMat-Bulk. Energies are from GGA-PBE.

```
Ba12AgAu6
1.0
9.627 0.000 -3.404
-4.813 8.337 -3.404
0.000 0.000 10.211
Ba Ag Au
12 1 6
Direct
0.308 0.129 0.821 Ba
0.308 0.487 0.179 Ba
0.692 0.513 0.821 Ba
0.692 0.871 0.179 Ba
0.129 0.821 0.308 Ba
0.487 0.179 0.308 Ba
0.513 0.821 0.692 Ba
0.871 0.179 0.692 Ba
0.821 0.308 0.129 Ba
0.179 0.308 0.487 Ba
0.821 0.692 0.513 Ba
0.179 0.692 0.871 Ba
0.000 0.000 0.000 Ag
0.375 0.500 0.875 Au
0.625 0.500 0.125 Au
0.500 0.875 0.375 Au
0.500 0.125 0.625 Au
0.875 0.375 0.500 Au
0.125 0.625 0.500 Au
```

Calculated values
calculated formation energy: -0.46 eV/atom
total energy: -2.861 eV/atom
density of states at the Fermi level: 0.9987 states/eV/atom
spin magnetization: 0.00 μB per formula unit
crystal system: cubic



# 8
Here is an optimized crystal structure of BaAg4Au from Alexandria via LeMat-Bulk. Energies are from GGA-PBE.

```
BaAg4Au
1.0
5.758 0.000 0.000
2.879 4.987 0.000
2.879 1.662 4.702
Ag Au Ba
4 1 1
Direct
0.128 0.624 0.624 Ag
0.624 0.624 0.624 Ag
0.624 0.128 0.624 Ag
0.624 0.624 0.128 Ag
0.250 0.250 0.250 Au
0.000 0.000 0.000 Ba
```

Calculated values
calculated formation energy: -0.15 eV/atom
total energy: -2.919 eV/atom
density of states at the Fermi level: 0.5824 states/eV/atom
spin magnetization: 0.00 μB per formula unit
crystal system: cubic



# 9
Here is an optimized crystal structure of Ba2Ag2Au15 from Alexandria via LeMat-Bulk. Energies are from GGA-PBE.

```
Ba2Ag2Au15
1.0
7.431 -0.003 -0.002
0.961 7.368 -0.002
0.961 0.844 7.320
Ba Ag Au
2 2 15
Direct
0.341 0.341 0.341 Ba
0.659 0.659 0.659 Ba
0.096 0.096 0.096 Ag
0.904 0.904 0.904 Ag
0.500 0.000 0.000 Au
0.000 0.000 0.500 Au
0.000 0.500 0.000 Au
0.000 0.703 0.297 Au
0.703 0.297 0.000 Au
0.297 0.000 0.703 Au
0.297 0.703 0.000 Au
0.703 0.000 0.297 Au
0.000 0.297 0.703 Au
0.155 0.652 0.652 Au
0.652 0.652 0.155 Au
0.652 0.155 0.652 Au
0.845 0.348 0.348 Au
0.348 0.348 0.845 Au
0.348 0.845 0.348 Au
```

Calculated values
calculated formation energy: -0.28 eV/atom
total energy: -3.373 eV/atom
density of states at the Fermi level: 0.2429 states/eV/atom
spin magnetization: 0.00 μB per formula unit
crystal system: trigonal



# 10
Here is an optimized crystal structure of BaAgAu10 from Alexandria via LeMat-Bulk. Energies are from GGA-PBE.

```
BaAgAu10
1.0
-4.509 -0.987 -1.083
1.356 -0.267 -5.404
1.875 -9.602 0.945
Ba Ag Au
1 1 10
Direct
0.000 0.500 0.500 Ba
0.000 0.000 0.000 Ag
0.000 0.000 0.297 Au
0.000 0.500 0.848 Au
0.000 0.500 0.152 Au
0.000 0.000 0.703 Au
0.500 0.000 0.500 Au
0.500 0.500 0.000 Au
0.500 0.253 0.250 Au
0.500 0.747 0.750 Au
0.500 0.747 0.250 Au
0.500 0.253 0.750 Au
```

Calculated values
calculated formation energy: -0.20 eV/atom
total energy: -3.325 eV/atom
density of states at the Fermi level: 0.3009 states/eV/atom
spin magnetization: 0.00 μB per formula unit
crystal system: orthorhombic



# 11
Here is an optimized crystal structure of BaAgAu2 from Alexandria via LeMat-Bulk. Energies are from GGA-PBE.

```
BaAgAu2
1.0
4.890 0.000 0.000
0.000 4.351 -0.023
0.000 0.026 5.496
Au Ba Ag
2 1 1
Direct
0.000 0.000 0.996 Au
0.500 0.000 0.263 Au
0.000 0.500 0.484 Ba
0.500 0.000 0.757 Ag
```

Calculated values
calculated formation energy: -0.42 eV/atom
total energy: -3.253 eV/atom
density of states at the Fermi level: 0.3744 states/eV/atom
spin magnetization: 0.00 μB per formula unit
crystal system: orthorhombic



# 12
Here is an optimized crystal structure of Ba5Ag2Au2 from Alexandria via LeMat-Bulk. Energies are from GGA-PBE.

```
Ba5Ag2Au2
1.0
8.385 0.000 3.044
0.000 8.945 0.000
1.236 0.000 9.667
Ba Ag Au
10 4 4
Direct
0.000 0.000 0.000 Ba
0.500 0.500 0.000 Ba
0.466 0.164 0.730 Ba
0.804 0.836 0.730 Ba
0.304 0.664 0.730 Ba
0.966 0.336 0.730 Ba
0.534 0.836 0.270 Ba
0.196 0.164 0.270 Ba
0.696 0.336 0.270 Ba
0.034 0.664 0.270 Ba
0.202 0.000 0.596 Ag
0.702 0.500 0.596 Ag
0.798 0.000 0.404 Ag
0.298 0.500 0.404 Ag
0.125 0.375 0.000 Au
0.875 0.625 0.000 Au
0.375 0.875 0.000 Au
0.625 0.125 0.000 Au
```

Calculated values
calculated formation energy: -0.43 eV/atom
total energy: -2.861 eV/atom
density of states at the Fermi level: 0.6750 states/eV/atom
spin magnetization: 0.00 μB per formula unit
crystal system: orthorhombic



# 13
Here is an optimized crystal structure of Ba4AgAu2 from Alexandria via LeMat-Bulk. Energies are from GGA-PBE.

```
Ba4AgAu2
1.0
4.716 0.000 0.000
0.000 15.789 0.000
0.000 0.000 15.999
Au Ba Ag
8 16 4
Direct
0.750 0.893 0.076 Au
0.250 0.107 0.924 Au
0.250 0.607 0.576 Au
0.750 0.393 0.424 Au
0.750 0.850 0.702 Au
0.250 0.150 0.298 Au
0.250 0.650 0.202 Au
0.750 0.350 0.798 Au
0.250 0.966 0.614 Ba
0.750 0.034 0.386 Ba
0.750 0.534 0.114 Ba
0.250 0.466 0.886 Ba
0.750 0.969 0.878 Ba
0.250 0.031 0.122 Ba
0.250 0.531 0.378 Ba
0.750 0.469 0.622 Ba
0.750 0.787 0.256 Ba
0.250 0.213 0.744 Ba
0.250 0.713 0.756 Ba
0.750 0.287 0.244 Ba
0.250 0.755 0.023 Ba
0.750 0.245 0.977 Ba
0.750 0.745 0.523 Ba
0.250 0.255 0.477 Ba
0.250 0.868 0.410 Ag
0.750 0.132 0.590 Ag
0.750 0.632 0.910 Ag
0.250 0.368 0.090 Ag
```

Calculated values
calculated formation energy: -0.49 eV/atom
total energy: -2.929 eV/atom
density of states at the Fermi level: 0.6608 states/eV/atom
spin magnetization: 0.00 μB per formula unit
crystal system: orthorhombic



# 14
Here is an optimized crystal structure of Ba8Ag3Au2 from Alexandria via LeMat-Bulk. Energies are from GGA-PBE.

```
Ba8Ag3Au2
1.0
-4.552 0.561 -3.444
6.703 4.707 -8.093
-1.888 -9.746 0.906
Ba Ag Au
8 3 2
Direct
0.000 0.626 0.254 Ba
0.000 0.374 0.746 Ba
0.000 0.123 0.250 Ba
0.000 0.877 0.750 Ba
0.500 0.628 0.747 Ba
0.500 0.122 0.748 Ba
0.500 0.878 0.252 Ba
0.500 0.372 0.253 Ba
0.500 0.000 0.000 Ag
0.000 0.252 0.000 Ag
0.000 0.748 0.000 Ag
0.500 0.254 0.508 Au
0.500 0.746 0.492 Au
```

Calculated values
calculated formation energy: -0.31 eV/atom
total energy: -2.652 eV/atom
density of states at the Fermi level: 0.9686 states/eV/atom
spin magnetization: 0.00 μB per formula unit
crystal system: monoclinic



# 15
Here is an optimized crystal structure of Ba3Ag2Au from Alexandria via LeMat-Bulk. Energies are from GGA-PBE.

```
Ba3Ag2Au
1.0
5.772 0.002 0.023
2.889 8.645 0.011
-0.034 0.000 8.240
Ba Ag Au
6 4 2
Direct
0.831 0.338 0.758 Ba
0.500 0.000 0.246 Ba
0.169 0.662 0.242 Ba
0.831 0.338 0.242 Ba
0.169 0.662 0.758 Ba
0.500 0.000 0.754 Ba
0.000 0.000 0.000 Ag
0.000 0.000 0.500 Ag
0.333 0.333 0.500 Ag
0.667 0.667 0.500 Ag
0.337 0.326 0.000 Au
0.663 0.674 0.000 Au
```

Calculated values
calculated formation energy: -0.39 eV/atom
total energy: -2.843 eV/atom
density of states at the Fermi level: 0.9325 states/eV/atom
spin magnetization: 0.00 μB per formula unit
crystal system: orthorhombic



# 16
Here is an optimized crystal structure of Ba3Ag9Au2 from Alexandria via LeMat-Bulk. Energies are from GGA-PBE.

```
Ba3Ag9Au2
1.0
-1.369 -4.467 -1.202
2.756 -5.294 6.851
-6.838 -2.025 5.631
Ba Ag Au
3 9 2
Direct
0.000 0.000 0.000 Ba
0.682 0.318 0.318 Ba
0.318 0.682 0.682 Ba
0.000 0.500 0.500 Ag
0.681 0.965 0.673 Ag
0.319 0.035 0.327 Ag
0.681 0.673 0.965 Ag
0.319 0.327 0.035 Ag
0.880 0.844 0.396 Ag
0.120 0.156 0.604 Ag
0.880 0.396 0.844 Ag
0.120 0.604 0.156 Ag
0.500 0.271 0.729 Au
0.500 0.729 0.271 Au
```

Calculated values
calculated formation energy: -0.24 eV/atom
total energy: -2.950 eV/atom
density of states at the Fermi level: 0.3395 states/eV/atom
spin magnetization: 0.00 μB per formula unit
crystal system: orthorhombic



# 17
Here is an optimized crystal structure of Ba5Ag4Au from Alexandria via LeMat-Bulk. Energies are from GGA-PBE.

```
Ba5Ag4Au
1.0
4.122 0.000 0.000
0.000 4.122 0.000
0.000 0.000 20.436
Ba Ag Au
5 4 1
Direct
0.500 0.500 0.096 Ba
0.500 0.500 0.299 Ba
0.500 0.500 0.500 Ba
0.500 0.500 0.701 Ba
0.500 0.500 0.904 Ba
0.000 0.000 0.199 Ag
0.000 0.000 0.399 Ag
0.000 0.000 0.601 Ag
0.000 0.000 0.801 Ag
0.000 0.000 0.000 Au
```

Calculated values
calculated formation energy: -0.33 eV/atom
total energy: -2.755 eV/atom
density of states at the Fermi level: 0.9082 states/eV/atom
spin magnetization: 0.00 μB per formula unit
crystal system: tetragonal



# 18
Here is an optimized crystal structure of BaAgAu3 from Alexandria via LeMat-Bulk. Energies are from GGA-PBE.

```
BaAgAu3
1.0
-1.653 2.859 4.074
0.264 -4.237 3.081
4.971 1.176 1.191
Au Ba Ag
3 1 1
Direct
0.000 0.500 0.000 Au
0.000 0.000 0.500 Au
0.500 0.000 0.000 Au
0.500 0.500 0.500 Ba
0.000 0.000 0.000 Ag
```

Calculated values
calculated formation energy: -0.21 eV/atom
total energy: -3.127 eV/atom
density of states at the Fermi level: 0.2565 states/eV/atom
spin magnetization: 0.00 μB per formula unit
crystal system: cubic



# 19
Here is an optimized crystal structure of BaAgAu from Alexandria via LeMat-Bulk. Energies are from GGA-PBE.

```
BaAgAu
1.0
-3.714 -2.856 -1.384
3.129 -1.547 3.418
-2.500 1.758 3.084
Au Ba Ag
1 1 1
Direct
0.667 0.333 0.167 Au
0.333 0.667 0.667 Ba
0.000 0.000 0.167 Ag
```

Calculated values
calculated formation energy: -0.53 eV/atom
total energy: -3.216 eV/atom
density of states at the Fermi level: 0.2546 states/eV/atom
spin magnetization: 0.00 μB per formula unit
crystal system: hexagonal



# 20
Here is an optimized crystal structure of BaAg3Au from Alexandria via LeMat-Bulk. Energies are from GGA-PBE.

```
BaAg3Au
1.0
-1.343 -4.080 1.650
-1.002 -1.392 -4.270
4.423 -4.833 -1.940
Ba Ag Au
1 3 1
Direct
0.407 0.210 0.891 Ba
0.652 0.955 0.402 Ag
0.151 0.455 0.402 Ag
0.785 0.588 0.135 Ag
0.013 0.816 0.680 Au
```

Calculated values
calculated formation energy: -0.26 eV/atom
total energy: -3.013 eV/atom
density of states at the Fermi level: 0.2560 states/eV/atom
spin magnetization: 0.00 μB per formula unit
crystal system: tetragonal



# 21
Here is an optimized crystal structure of BaAgAu2 from Alexandria via LeMat-Bulk. Energies are from GGA-PBE.

```
BaAgAu2
1.0
-2.554 -2.876 -0.165
0.816 -0.510 -3.728
4.993 -4.532 1.713
Au Ba Ag
2 1 1
Direct
0.000 0.000 0.969 Au
0.500 0.500 0.220 Au
0.000 0.000 0.485 Ba
0.500 0.500 0.826 Ag
```

Calculated values
calculated formation energy: -0.23 eV/atom
total energy: -3.064 eV/atom
density of states at the Fermi level: 0.3580 states/eV/atom
spin magnetization: 0.00 μB per formula unit
crystal system: tetragonal



# 22
Here is an optimized crystal structure of BaAg2Au from Alexandria via LeMat-Bulk. Energies are from GGA-PBE.

```
BaAg2Au
1.0
-2.306 2.613 -3.743
-2.242 -4.301 -1.621
-9.840 0.887 3.189
Au Ba Ag
2 2 4
Direct
0.000 0.000 0.000 Au
0.750 0.250 0.500 Au
0.500 0.500 0.000 Ba
0.250 0.750 0.500 Ba
0.819 0.125 0.250 Ag
0.931 0.625 0.250 Ag
0.375 0.181 0.750 Ag
0.875 0.069 0.750 Ag
```

Calculated values
calculated formation energy: -0.19 eV/atom
total energy: -2.920 eV/atom
density of states at the Fermi level: 0.6454 states/eV/atom
spin magnetization: 0.00 μB per formula unit
crystal system: tetragonal